[1]
An optimized crystal structure of Mn2SiW, computed with GGA-PBE.

```
Mn2SiW
1.0
2.695 0.000 0.000
-1.348 2.334 0.000
0.000 0.000 24.504
Mn Si W
6 3 3
Cartesian
0.000 0.000 0.000
0.000 0.000 6.357
0.000 1.556 16.336
0.000 1.556 22.693
1.348 0.778 8.168
1.348 0.778 14.525
0.000 0.000 12.619
0.000 1.556 4.451
1.348 0.778 20.787
0.000 0.000 18.551
0.000 1.556 10.383
1.348 0.778 2.215
```

As for the density of states at the Fermi level: 0.92 states/eV per atom. As for the symmetry: R3m, No. 160. The formation energy (no corrections) comes out at 0.16 eV/atom.


[2]
An optimized crystal structure of Tm3Te3Pb, computed with GGA-PBE.

```
Tm3Te3Pb
1.0
10.089 0.000 0.000
-5.044 8.737 0.000
0.000 0.000 5.969
Tm Te Pb
6 6 2
Cartesian
0.000 2.809 1.492
-2.612 7.333 1.492
2.433 1.404 4.477
2.612 7.333 1.492
7.656 1.404 4.477
5.044 5.928 4.477
0.000 3.180 4.477
-2.291 7.147 4.477
2.754 1.590 1.492
2.291 7.147 4.477
7.335 1.590 1.492
5.044 5.557 1.492
0.000 5.825 1.492
5.044 2.912 4.477
```

As for the density of states at the Fermi level: 0.44 states/eV per atom. As for the symmetry: P6_3/mmc, No. 194. The formation energy (no corrections) comes out at -0.81 eV/atom.


[3]
An optimized crystal structure of LiTb3Er3S8, computed with GGA-PBE.

```
LiTb3Er3S8
1.0
3.869 2.234 6.336
-3.869 2.234 6.336
0.000 -4.468 6.336
Li Tb Er S
1 3 3 8
Cartesian
0.000 0.000 0.000
-3.869 0.000 9.504
-1.935 1.117 3.168
1.935 1.117 3.168
-1.935 -1.117 6.336
-1.935 1.117 12.671
0.000 2.234 6.336
0.000 -2.259 7.870
-1.956 1.130 7.870
-1.956 -1.130 11.138
0.000 0.000 4.782
0.000 0.000 14.225
1.956 1.130 7.870
1.956 -1.130 11.138
0.000 2.259 11.138
```

As for the density of states at the Fermi level: 0.30 states/eV per atom. As for the symmetry: R-3m, No. 166. The formation energy (no corrections) comes out at -2.00 eV/atom.